(1)
Density functional theory data (PBE) for crystalline Na2LiIn at its relaxed geometry.

Cell and atoms, written as POSCAR:
```
Na2LiIn
1.0
-0.121 -1.930 8.251
-3.998 -7.263 -1.758
0.617 -6.000 2.958
In Na Li
2 4 2
Direct
0.000 0.000 0.000
0.750 0.250 0.500
0.375 0.392 0.750
0.142 0.625 0.250
0.608 0.125 0.250
0.875 0.858 0.750
0.500 0.500 0.000
0.250 0.750 0.500
```

Results
The magnetization is 0.00 μB/atom. The calculation puts the formation enthalpy at 0 K at 0.050 eV per atom.



(2)
Density functional theory data (PBE) for crystalline NaLi15In4 at its relaxed geometry.

Cell and atoms, written as POSCAR:
```
NaLi15In4
1.0
4.790 0.000 0.000
0.000 4.790 0.000
0.000 0.000 17.064
Li In Na
15 4 1
Direct
0.000 0.500 0.692
0.500 0.000 0.880
0.500 0.000 0.500
0.500 0.000 0.692
0.000 0.500 0.120
0.500 0.000 0.120
0.500 0.000 0.308
0.500 0.500 0.404
0.500 0.500 0.210
0.000 0.500 0.880
0.500 0.500 0.596
0.500 0.500 0.000
0.000 0.500 0.500
0.500 0.500 0.790
0.000 0.500 0.308
0.000 0.000 0.403
0.000 0.000 0.213
0.000 0.000 0.597
0.000 0.000 0.787
0.000 0.000 0.000
```

Results
The magnetization is 0.00 μB/atom. The calculation puts the formation enthalpy at 0 K at -0.160 eV per atom.



(3)
Density functional theory data (PBE) for crystalline Na5LiIn6 at its relaxed geometry.

Cell and atoms, written as POSCAR:
```
Na5LiIn6
1.0
10.667 -1.367 1.079
2.027 3.249 2.125
-0.062 -1.813 7.344
Na In Li
5 6 1
Direct
0.500 0.167 0.666
0.500 0.833 0.334
0.500 0.500 0.000
0.000 0.335 0.330
0.000 0.665 0.670
0.764 0.736 0.000
0.754 0.086 0.320
0.246 0.914 0.680
0.236 0.264 0.000
0.754 0.406 0.680
0.246 0.594 0.320
0.000 0.000 0.000
```

Results
The magnetization is 0.00 μB/atom. The calculation puts the formation enthalpy at 0 K at -0.107 eV per atom.



(4)
Density functional theory data (PBE) for crystalline NaLi2In8 at its relaxed geometry.

Cell and atoms, written as POSCAR:
```
NaLi2In8
1.0
4.215 0.000 -1.280
-1.092 8.089 -3.598
0.257 -1.136 8.427
In Li Na
8 2 1
Direct
0.000 0.320 0.000
0.000 0.680 0.000
0.341 0.570 0.681
0.340 0.111 0.681
0.660 0.889 0.319
0.165 0.165 0.330
0.835 0.835 0.670
0.659 0.430 0.319
0.189 0.688 0.377
0.811 0.312 0.623
0.500 0.000 0.000
```

Results
The magnetization is 0.00 μB/atom. For the polymorph energy (0 for the lowest one), the calculation gives 0.00 eV per formula unit. The calculation puts the formation enthalpy at 0 K at -0.098 eV per atom.